Record 1
First-principles (GGA-PBE) data for Li2DyMgHg2 after structural relaxation, as listed in Alexandria.

Structure (extended XYZ):
```
6
Lattice="4.713 0.000 0.000 -2.356 4.082 0.000 0.000 0.000 6.605" Properties=species:S:1:pos:R:3 pbc="T T T"
Li 0.000 2.721 1.224
Li 2.356 1.361 5.381
Dy 0.000 0.000 3.302
Mg 0.000 0.000 0.000
Hg 0.000 2.721 4.930
Hg 2.356 1.361 1.675
```

Symmetry: P-3m1
Energy of formation, eV/atom: -0.3309


Record 2
First-principles (GGA-PBE) data for Re2GeTeRu after structural relaxation, as listed in Alexandria.

Structure (extended XYZ):
```
5
Lattice="4.737 0.000 0.000 0.000 4.737 0.000 0.000 0.000 5.132" Properties=species:S:1:pos:R:3 pbc="T T T"
Re 0.000 2.369 0.000
Re 2.369 0.000 0.000
Ge 0.000 0.000 2.566
Te 2.369 2.369 2.566
Ru 2.369 2.369 0.000
```

Energy, eV/atom: -6.521
Symmetry: P4/mmm